Below is crystalline US2Br8 at its relaxed geometry, with properties calculated at the PBE level.

Output
raw formation energy: -0.550 eV per atom
calculated volume: 41.67 Å³ per atom
crystal system: monoclinic

a b c (Å): 11.825 11.969 8.398
angles (deg): 90.00 129.54 90.00
Space group C2/m (No. 12)
One atom of each set of equivalent atoms:
1 U 0.000 0.000 0.000
2 S 0.076 0.000 0.779
3 Br 0.049 0.194 0.842
4 Br 0.127 0.500 0.071
5 Br 0.222 0.500 0.665

***

Below is crystalline AlZnAu6 at its relaxed geometry, with properties calculated at the PBE level.

Output
calculated volume: 17.16 Å³ per atom
polymorph energy (0 for the lowest one): 0.000 eV per atom
crystal system: tetragonal

a b c (Å): 4.483 4.483 13.662
angles (deg): 90.00 90.00 90.00
Space group I4/mmm (No. 139)
One atom of each set of equivalent atoms:
1 Al 0.000 0.000 0.000
2 Zn 0.000 0.000 0.500
3 Au 0.000 0.000 0.249
4 Au 0.000 0.500 0.112

***

Below is crystalline ErMgCuRu at its relaxed geometry, with properties calculated at the PBE level.

Output
calculated volume: 17.68 Å³ per atom
final energy: -0.1859 Ha/atom
crystal system: cubic

a b c (Å): 6.565 6.565 6.565
angles (deg): 90.00 90.00 90.00
Space group F-43m (No. 216)
One atom of each set of equivalent atoms:
1 Er 0.000 0.000 0.000
2 Mg 0.000 0.000 0.500
3 Cu 0.250 0.250 0.250
4 Ru 0.250 0.250 0.750

***

Below is crystalline CaTaTi2Fe at its relaxed geometry, with properties calculated at the PBE level.

Output
calculated volume: 20.40 Å³ per atom
final energy: -0.2649 Ha/atom
crystal system: tetragonal

a b c (Å): 4.661 4.661 4.695
angles (deg): 90.00 90.00 90.00
Space group P4/mmm (No. 123)
One atom of each set of equivalent atoms:
1 Ca 0.000 0.000 0.000
2 Ta 0.500 0.500 0.000
3 Ti 0.000 0.500 0.500
4 Fe 0.500 0.500 0.500

***

Below is crystalline UTi2MnC4 at its relaxed geometry, with properties calculated at the PBE level.

Output
calculated volume: 11.28 Å³ per atom
final energy: -0.3488 Ha/atom
crystal system: orthorhombic

a b c (Å): 3.164 10.887 10.483
angles (deg): 90.00 90.00 90.00
Space group Cmcm (No. 63)
One atom of each set of equivalent atoms:
1 U 0.000 0.103 0.250
2 Ti 0.000 0.371 0.044
3 Mn 0.000 0.157 0.750
4 C 0.000 0.000 0.000
5 C 0.000 0.266 0.620
6 C 0.000 0.438 0.250

***

Below is crystalline BeNiSe at its relaxed geometry, with properties calculated at the PBE level.

Output
raw formation energy: -0.079 eV per atom
calculated volume: 14.37 Å³ per atom
crystal system: triclinic

a b c (Å): 3.584 3.992 6.744
angles (deg): 87.88 89.53 63.45
Space group P1 (No. 1)
One atom of each set of equivalent atoms:
1 Be 0.000 0.000 0.000
2 Be 0.360 0.296 0.560
3 Ni 0.654 0.719 0.437
4 Ni 0.680 0.637 0.067
5 Se 0.380 0.235 0.215
6 Se 0.793 0.426 0.742

***

Below is crystalline LiCaRh at its relaxed geometry, with properties calculated at the PBE level.

Output
calculated volume: 18.81 Å³ per atom
polymorph energy (0 for the lowest one): 0.078 eV per atom
crystal system: tetragonal

a b c (Å): 3.428 3.428 9.605
angles (deg): 90.00 90.00 90.00
Space group I4mm (No. 107)
One atom of each set of equivalent atoms:
1 Li 0.000 0.000 0.000
2 Ca 0.000 0.000 0.286
3 Rh 0.000 0.000 0.606

***

Below is crystalline Er6ThSc at its relaxed geometry, with properties calculated at the PBE level.

Output
calculated volume: 30.44 Å³ per atom
polymorph energy (0 for the lowest one): 0.068 eV per atom
crystal system: triclinic

a b c (Å): 6.383 6.648 6.662
angles (deg): 119.89 95.51 90.28
Space group P-1 (No. 2)
One atom of each set of equivalent atoms:
1 Er 0.236 0.452 0.403
2 Er 0.244 0.951 0.920
3 Er 0.245 0.470 0.920
4 Th 0.500 0.000 0.500
5 Sc 0.000 0.000 0.500

***

Below is crystalline Fe3Co at its relaxed geometry, with properties calculated at the PBE level.

Output
calculated volume: 11.54 Å³ per atom
final energy: -0.2988 Ha/atom
crystal system: monoclinic

a b c (Å): 2.464 4.023 9.350
angles (deg): 90.00 94.66 90.00
Space group P2_1/m (No. 11)
One atom of each set of equivalent atoms:
1 Fe 0.056 0.250 0.189
2 Fe 0.313 0.250 0.936
3 Fe 0.439 0.750 0.316
4 Co 0.192 0.750 0.564

***

Below is crystalline La12Cd2Ru5 at its relaxed geometry, with properties calculated at the PBE level.

Output
calculated volume: 29.47 Å³ per atom
final energy: -0.2149 Ha/atom
crystal system: monoclinic

a b c (Å): 19.000 7.380 8.740
angles (deg): 90.00 113.98 90.00
Space group C2/m (No. 12)
One atom of each set of equivalent atoms:
1 La 0.048 0.000 0.265
2 La 0.106 0.500 0.304
3 La 0.123 0.255 0.962
4 La 0.201 0.239 0.659
5 Cd 0.000 0.301 0.500
6 Ru 0.000 0.500 0.000
7 Ru 0.188 0.000 0.354
8 Ru 0.237 0.500 0.041

***

Below is crystalline Dy14YEr at its relaxed geometry, with properties calculated at the PBE level.

Output
calculated volume: 31.36 Å³ per atom
final energy: -0.1733 Ha/atom
crystal system: orthorhombic

a b c (Å): 11.443 7.116 12.323
angles (deg): 90.00 90.00 90.00
Space group Amm2 (No. 38)
One atom of each set of equivalent atoms:
1 Dy 0.000 0.000 0.000
2 Dy 0.000 0.000 0.500
3 Dy 0.000 0.250 0.250
4 Dy 0.249 0.000 0.333
5 Dy 0.250 0.249 0.583
6 Dy 0.251 0.000 0.833
7 Dy 0.500 0.250 0.416
8 Y 0.500 0.000 0.166
9 Er 0.500 0.000 0.666

***

Below is crystalline RbHg2Bi2 at its relaxed geometry, with properties calculated at the PBE level.

Output
calculated volume: 36.67 Å³ per atom
polymorph energy (0 for the lowest one): 0.030 eV per atom
crystal system: tetragonal

a b c (Å): 5.716 5.716 11.224
angles (deg): 90.00 90.00 90.00
Space group I4/mmm (No. 139)
One atom of each set of equivalent atoms:
1 Rb 0.000 0.000 0.000
2 Hg 0.000 0.500 0.250
3 Bi 0.000 0.000 0.364